No. 1
A relaxed structure of Cd2GaB. Source: the Alexandria database, functional PBE.

Unit cell a=4.6857 b=4.6857 c=4.6857 alpha=60.00 beta=60.00 gamma=60.00
Sites, in units of the cell vectors:
Cd1 0.2500 0.2500 0.2500
Cd2 0.7500 0.7500 0.7500
Ga1 0.0000 0.0000 0.0000
B1 0.5000 0.5000 0.5000

Values from the calculation:
For the density of states at the Fermi level, the calculation gives 0.9 states/eV per cell.



No. 2
A relaxed structure of CdGa2B. Source: the Alexandria database, functional PBE.

Unit cell a=4.6045 b=4.6045 c=4.6045 alpha=60.00 beta=60.00 gamma=60.00
Sites, in units of the cell vectors:
Cd1 0.0000 0.0000 0.0000
Ga1 0.2500 0.2500 0.2500
Ga2 0.7500 0.7500 0.7500
B1 0.5000 0.5000 0.5000

Values from the calculation:
For the density of states at the Fermi level, the calculation gives 2.8 states/eV per cell.



Asked for energy of formation from the pure elements across the records above, the calculation gives 3.48, 3.42 eV per formula unit in order.